1.
# NaErV2O8, optimized geometry, DFT PBE+U
# Total energy in eV/atom: -6.958
# Total magnetization in Bohr magnetons per cell: 2.0
data_NaErV2O8
_cell_length_a 5.8386
_cell_length_b 5.8386
_cell_length_c 6.8125
_cell_angle_alpha 90.00
_cell_angle_beta 90.00
_cell_angle_gamma 120.00
_space_group_name_H-M_alt 'P -3 m 1'
_space_group_IT_number 164
_space_group_name_Hall '-P 3 2"'
loop_
_atom_site_label
_atom_site_type_symbol
_atom_site_fract_x
_atom_site_fract_y
_atom_site_fract_z
_atom_site_occupancy
Na1 Na 0.0000 0.0000 0.0000 1
Er1 Er 0.0000 0.0000 0.5000 1
V1 V 0.3333 0.6667 0.2099 1
O1 O 0.1691 0.3382 0.2910 1
O2 O 0.3333 0.6667 0.9595 1

2.
# NaErVO4, optimized geometry, DFT PBE+U
# Total energy in eV/atom: -7.151
# Total magnetization in Bohr magnetons per cell: 2.0
data_NaErVO4
_cell_length_a 5.847
_cell_length_b 5.996
_cell_length_c 6.770
_cell_angle_alpha 90.00
_cell_angle_beta 113.25
_cell_angle_gamma 90.00
_space_group_name_H-M_alt 'P 1 21/m 1'
_space_group_IT_number 11
loop_
_space_group_symop_operation_xyz
'x,y,z'
'-x,-y,-z'
'-x,y+1/2,-z'
'x,-y+1/2,z'
loop_
_atom_site_label
_atom_site_type_symbol
_atom_site_fract_x
_atom_site_fract_y
_atom_site_fract_z
_atom_site_occupancy
Na1 Na 0.179 0.250 0.456 1
Er1 Er 0.330 0.250 0.974 1
V1 V 0.226 0.750 0.173 1
O1 O 0.002 0.750 0.909 1
O2 O 0.040 0.750 0.327 1
O3 O 0.473 0.534 0.196 1

3.
# Na3ErV2O8, optimized geometry, DFT PBE+U
# Total energy in eV/atom: -6.803
# Total magnetization in Bohr magnetons per cell: 0.0
data_Na3ErV2O8
_cell_length_a 5.574
_cell_length_b 9.840
_cell_length_c 8.915
_cell_angle_alpha 90.00
_cell_angle_beta 125.43
_cell_angle_gamma 90.00
_space_group_name_H-M_alt 'P 1 21/c 1'
_space_group_IT_number 14
loop_
_space_group_symop_operation_xyz
'x,y,z'
'-x,-y,-z'
'-x,y+1/2,-z+1/2'
'x,-y+1/2,z+1/2'
loop_
_atom_site_label
_atom_site_type_symbol
_atom_site_fract_x
_atom_site_fract_y
_atom_site_fract_z
_atom_site_occupancy
Na1 Na 0.000 0.000 0.000 1
Na2 Na 0.301 0.143 0.792 1
Er1 Er 0.500 0.000 0.500 1
V1 V 0.205 0.682 0.223 1
O1 O 0.141 0.131 0.468 1
O2 O 0.197 0.641 0.760 1
O3 O 0.269 0.598 0.409 1
O4 O 0.484 0.637 0.195 1

4.
# Na2Er2VO6, optimized geometry, DFT PBE+U
# Total energy in eV/atom: -7.040
# Total magnetization in Bohr magnetons per cell: 2.0
data_Na2Er2VO6
_cell_length_a 5.661
_cell_length_b 9.791
_cell_length_c 5.829
_cell_angle_alpha 90.00
_cell_angle_beta 104.94
_cell_angle_gamma 90.00
_space_group_name_H-M_alt 'C 1 2/m 1'
_space_group_IT_number 12
loop_
_space_group_symop_operation_xyz
'x,y,z'
'-x,-y,-z'
'-x,y,-z'
'x,-y,z'
'x+1/2,y+1/2,z'
'-x+1/2,-y+1/2,-z'
'-x+1/2,y+1/2,-z'
'x+1/2,-y+1/2,z'
loop_
_atom_site_label
_atom_site_type_symbol
_atom_site_fract_x
_atom_site_fract_y
_atom_site_fract_z
_atom_site_occupancy
Na1 Na 0.000 0.154 0.000 1
Er1 Er 0.000 0.334 0.500 1
V1 V 0.000 0.000 0.500 1
O1 O 0.203 0.158 0.693 1
O2 O 0.232 0.000 0.313 1